DFT (PBEsol) results for an optimized crystal structure of BeIr2O2.

Values from the calculation:
Fermi-level density of states	0.32	states/eV per atom
symmetry	No. 139
excess energy over the best structure of this formula in the dataset	311	meV/atom
E_tot	-6.718	eV per atom
formation energy from raw total energies	2.559	kcal/mol of atoms

Unit cell a=3.209 b=3.209 c=5.714 alpha=106.31 beta=106.31 gamma=90.00
Fractional coordinates of all 5 atoms:
1 Be 0.000 0.000 0.000
2 Ir 0.384 0.384 0.768
3 Ir 0.616 0.616 0.232
4 O 0.250 0.750 0.500
5 O 0.750 0.250 0.500